DFT (PBE) results for an optimized crystal structure of LiBeAs2.

Properties
Total DFT energy (no corrections)   -3.8416 eV per atom
Space group   C2/m
Formation energy   -0.107 eV per atom
Theoretical density   4.3 g/cm³

Cell lengths 4.0239, 4.0239, 5.2921 Å; angles 78.81, 78.81, 49.87 degrees
Closest atoms and distances in Å follow each position.
Fractional positions:
As (0.4951, 0.4951, 0.5492)  3 Be 2.33-2.53
As (0.0049, 0.0049, 0.9508)  3 Be 2.33-2.53
Li (0.2500, 0.2500, 0.2500)  6 As 2.63-2.75
Be (0.7500, 0.7500, 0.7500)  6 As 2.33-2.53